Record 1
Cs2KCrS4 | PBE-GGA | optimized geometry

Summary:
Formation energy without anion corrections in eV/atom: -0.86
Total magnetic moment in Bohr magnetons per cell: 8.00

a = 7.160 Å, b = 13.352 Å, c = 26.536 Å
α = 90.00°, β = 90.00°, γ = 90.00°
Space group Fddd (No. 70, origin choice 2)
One atom of each set of equivalent atoms:
1 Cs 0.125 0.125 0.311 (multiplicity 16)
2 K 0.125 0.125 0.125 (multiplicity 8)
3 Cr 0.125 0.125 0.625 (multiplicity 8)
4 S 0.041 0.280 0.828 (multiplicity 32)


Record 2
CsK2CrS4 | PBE-GGA | optimized geometry

Summary:
Formation energy without anion corrections in eV/atom: -0.94
Total magnetic moment in Bohr magnetons per cell: 2.00

a = 7.823 Å, b = 7.823 Å, c = 8.805 Å
α = 90.00°, β = 90.00°, γ = 90.00°
Space group I-42m (No. 121)
One atom of each set of equivalent atoms:
1 Cs 0.000 0.000 0.000 (multiplicity 2)
2 K 0.000 0.500 0.250 (multiplicity 4)
3 Cr 0.000 0.000 0.500 (multiplicity 2)
4 S 0.160 0.160 0.637 (multiplicity 8)


Record 3
CsK2CrSe4 | PBE-GGA | optimized geometry

Summary:
Formation energy without anion corrections in eV/atom: -0.85
Total magnetic moment in Bohr magnetons per cell: 2.00

a = 8.203 Å, b = 8.203 Å, c = 9.059 Å
α = 90.00°, β = 90.00°, γ = 90.00°
Space group I-42m (No. 121)
One atom of each set of equivalent atoms:
1 Cs 0.000 0.000 0.000 (multiplicity 2)
2 K 0.000 0.500 0.250 (multiplicity 4)
3 Cr 0.000 0.000 0.500 (multiplicity 2)
4 Se 0.162 0.162 0.641 (multiplicity 8)


Record 4
CsKCrSe3 | PBE-GGA | optimized geometry

Summary:
Formation energy without anion corrections in eV/atom: -0.82
Total magnetic moment in Bohr magnetons per cell: 8.00

a = 8.034 Å, b = 14.962 Å, c = 7.074 Å
α = 90.00°, β = 90.00°, γ = 90.00°
Space group Cmcm (No. 63)
One atom of each set of equivalent atoms:
1 Cs 0.000 0.213 0.250 (multiplicity 4)
2 K 0.000 0.416 0.750 (multiplicity 4)
3 Cr 0.000 0.049 0.750 (multiplicity 4)
4 Se 0.000 0.204 0.750 (multiplicity 4)
5 Se 0.197 0.000 0.000 (multiplicity 8)


Record 5
Cs2KCrSe4 | PBE-GGA | optimized geometry

Summary:
Formation energy without anion corrections in eV/atom: -0.79
Total magnetic moment in Bohr magnetons per cell: 8.00

a = 7.392 Å, b = 13.837 Å, c = 25.997 Å
α = 90.00°, β = 90.00°, γ = 90.00°
Space group Fddd (No. 70, origin choice 2)
One atom of each set of equivalent atoms:
1 Cs 0.125 0.125 0.308 (multiplicity 16)
2 K 0.125 0.125 0.125 (multiplicity 8)
3 Cr 0.125 0.125 0.625 (multiplicity 8)
4 Se 0.044 0.278 0.823 (multiplicity 32)


Record 6
CsK2CrSi | PBE-GGA | optimized geometry

Summary:
Formation energy without anion corrections in eV/atom: 1.35
Total magnetic moment in Bohr magnetons per cell: 5.29

a = 6.944 Å, b = 6.944 Å, c = 5.760 Å
α = 90.00°, β = 90.00°, γ = 90.00°
Space group P4/mmm (No. 123)
One atom of each set of equivalent atoms:
1 Cs 0.000 0.000 0.000 (multiplicity 1)
2 K 0.000 0.500 0.000 (multiplicity 2)
3 Cr 0.500 0.500 0.500 (multiplicity 1)
4 Si 0.000 0.000 0.500 (multiplicity 1)


Record 7
CsLaCr3 | PBE-GGA | optimized geometry

Summary:
Total magnetic moment in Bohr magnetons per cell: 0.00
Energy above the most stable polymorph in this dataset in eV/f.u.: 2.39
Energy relative to the elements in eV per atom: 2.523

a = 4.916 Å, b = 4.916 Å, c = 4.916 Å
α = 90.00°, β = 90.00°, γ = 90.00°
Space group Pm-3m (No. 221)
One atom of each set of equivalent atoms:
1 Cs 0.000 0.000 0.000 (multiplicity 1)
2 La 0.500 0.500 0.500 (multiplicity 1)
3 Cr 0.000 0.500 0.500 (multiplicity 3)


Record 8
CsLaCr3 | PBE-GGA | optimized geometry

Summary:
Total magnetic moment in Bohr magnetons per cell: 10.04
Energy above the most stable polymorph in this dataset in eV/f.u.: 0.00
Energy relative to the elements in eV per atom: 2.045

a = 5.168 Å, b = 5.168 Å, c = 5.168 Å
α = 90.00°, β = 90.00°, γ = 90.00°
Space group Pm-3m (No. 221)
One atom of each set of equivalent atoms:
1 Cs 0.000 0.000 0.000 (multiplicity 1)
2 La 0.500 0.500 0.500 (multiplicity 1)
3 Cr 0.000 0.000 0.500 (multiplicity 3)


Record 9
CsLa2Cr | PBE-GGA | optimized geometry

Summary:
Total magnetic moment in Bohr magnetons per cell: 0.00
Energy relative to the elements in eV per atom: 0.695

a = 8.062 Å, b = 8.062 Å, c = 11.301 Å
α = 90.00°, β = 90.00°, γ = 90.00°
Space group I-42d (No. 122)
One atom of each set of equivalent atoms:
1 Cs 0.000 0.000 0.000 (multiplicity 4)
2 La 0.028 0.250 0.625 (multiplicity 8)
3 Cr 0.000 0.000 0.500 (multiplicity 4)


Record 10
CsLa2Cr2N6 | PBE-GGA | optimized geometry

Summary:
Formation energy without anion corrections in eV/atom: -0.58
Total magnetic moment in Bohr magnetons per cell: 0.98

a = 6.644 Å, b = 6.654 Å, c = 6.949 Å
α = 63.92°, β = 63.98°, γ = 61.58°
Space group P-1 (No. 2)
One atom of each set of equivalent atoms:
1 Cs 0.000 0.000 0.000 (multiplicity 1)
2 La 0.314 0.314 0.294 (multiplicity 2)
3 Cr 0.387 0.386 0.679 (multiplicity 2)
4 N 0.118 0.521 0.629 (multiplicity 2)
5 N 0.426 0.424 0.887 (multiplicity 2)
6 N 0.477 0.882 0.373 (multiplicity 2)